Record 1
Here is a relaxed structure of UPa2Pd from the Alexandria database. Energies are from PBE-GGA.

## Properties
* space group: R-3m (166)
* ΔE_f: 0.065 eV per atom
* offset from the most stable computed form: 1.25 eV/f.u.
* total moment: 0.35 μB/f.u.
* crystal system: trigonal

```
data_UPa2Pd
_chemical_formula_sum 'U1 Pa2 Pd1'
_space_group_name_H-M_alt 'P 1'
_space_group_IT_number 1
_cell_length_a 10.863
_cell_length_b 10.863
_cell_length_c 10.863
_cell_angle_alpha 15.96
_cell_angle_beta 15.96
_cell_angle_gamma 15.96
loop_
_space_group_symop_operation_xyz
'x,y,z'
loop_
_atom_site_label
_atom_site_type_symbol
_atom_site_fract_x
_atom_site_fract_y
_atom_site_fract_z
_atom_site_occupancy
U1 U 0.000 0.000 0.000 1
Pa1 Pa 0.088 0.088 0.088 1
Pa2 Pa 0.912 0.912 0.912 1
Pd1 Pd 0.500 0.500 0.500 1
```

Record 2
Here is a relaxed structure of Hf6Tc2H from the Alexandria database. Energies are from PBE-GGA.

## Properties
* final energy: -9.465 eV/atom
* space group: P2_1/c (14)
* total moment: 0.00 μB/f.u.
* crystal system: monoclinic

```
data_Hf6Tc2H
_chemical_formula_sum 'Hf12 Tc4 H2'
_space_group_name_H-M_alt 'P 1'
_space_group_IT_number 1
_cell_length_a 5.835
_cell_length_b 6.151
_cell_length_c 10.487
_cell_angle_alpha 90.00
_cell_angle_beta 118.34
_cell_angle_gamma 90.00
loop_
_space_group_symop_operation_xyz
'x,y,z'
loop_
_atom_site_label
_atom_site_type_symbol
_atom_site_fract_x
_atom_site_fract_y
_atom_site_fract_z
_atom_site_occupancy
Hf1 Hf 0.102 0.215 0.456 1
Hf2 Hf 0.102 0.285 0.956 1
Hf3 Hf 0.312 0.690 0.451 1
Hf4 Hf 0.312 0.810 0.951 1
Hf5 Hf 0.392 0.019 0.247 1
Hf6 Hf 0.392 0.481 0.747 1
Hf7 Hf 0.608 0.519 0.253 1
Hf8 Hf 0.608 0.981 0.753 1
Hf9 Hf 0.688 0.190 0.049 1
Hf10 Hf 0.688 0.310 0.549 1
Hf11 Hf 0.898 0.715 0.044 1
Hf12 Hf 0.898 0.785 0.544 1
Tc1 Tc 0.141 0.103 0.736 1
Tc2 Tc 0.141 0.397 0.236 1
Tc3 Tc 0.859 0.603 0.764 1
Tc4 Tc 0.859 0.897 0.264 1
H1 H 0.500 0.000 0.500 1
H2 H 0.500 0.500 0.000 1
```

Record 3
Here is a relaxed structure of TiGa2Br8 from the Alexandria database. Energies are from PBE-GGA.

## Properties
* E_form (uncorrected): -84.88 kJ per mole of atoms
* space group: C2/m (12)
* total moment: 2.02 μB/f.u.
* crystal system: monoclinic

```
data_TiGa2Br8
_chemical_formula_sum 'Ti1 Ga2 Br8'
_space_group_name_H-M_alt 'P 1'
_space_group_IT_number 1
_cell_length_a 8.105
_cell_length_b 8.105
_cell_length_c 6.485
_cell_angle_alpha 95.60
_cell_angle_beta 95.60
_cell_angle_gamma 79.73
loop_
_space_group_symop_operation_xyz
'x,y,z'
loop_
_atom_site_label
_atom_site_type_symbol
_atom_site_fract_x
_atom_site_fract_y
_atom_site_fract_z
_atom_site_occupancy
Ti1 Ti 0.000 0.000 0.000 1
Ga1 Ga 0.196 0.196 0.644 1
Ga2 Ga 0.804 0.804 0.356 1
Br1 Br 0.080 0.732 0.224 1
Br2 Br 0.183 0.183 0.266 1
Br3 Br 0.268 0.920 0.776 1
Br4 Br 0.378 0.378 0.769 1
Br5 Br 0.622 0.622 0.231 1
Br6 Br 0.732 0.080 0.224 1
Br7 Br 0.817 0.817 0.734 1
Br8 Br 0.920 0.268 0.776 1
```

Record 4
Here is a relaxed structure of As2H2I3 from the Alexandria database. Energies are from PBE-GGA.

## Properties
* final energy: -2.910 eV/atom
* space group: P-1 (2)
* total moment: 0.00 μB/f.u.
* crystal system: triclinic

```
data_As2H2I3
_chemical_formula_sum 'As2 H2 I3'
_space_group_name_H-M_alt 'P 1'
_space_group_IT_number 1
_cell_length_a 4.271
_cell_length_b 6.336
_cell_length_c 8.960
_cell_angle_alpha 72.40
_cell_angle_beta 80.96
_cell_angle_gamma 83.24
loop_
_space_group_symop_operation_xyz
'x,y,z'
loop_
_atom_site_label
_atom_site_type_symbol
_atom_site_fract_x
_atom_site_fract_y
_atom_site_fract_z
_atom_site_occupancy
As1 As 0.204 0.049 0.070 1
As2 As 0.796 0.951 0.930 1
H1 H 0.199 0.826 0.201 1
H2 H 0.801 0.174 0.799 1
I1 I 0.114 0.697 0.750 1
I2 I 0.500 0.500 0.500 1
I3 I 0.886 0.303 0.250 1
```

Q: What is the total moment in the first record?
A: 0.35 μB/f.u.